[1]
VASP calculation (PBE-GGA) on crystalline NdHoOs at its relaxed geometry.

Cell: 7.345 5.935 7.755 Å, 90.00 109.11 90.00°
Space group P2_1/c (No. 14)
One atom of each set of equivalent atoms:
Nd 0.084 0.179 0.184
Ho 0.384 0.625 0.142
Os 0.356 0.111 0.001

- Total DFT energy (no corrections): -6.990 eV/atom
- Energy of formation from the pure elements: -0.4 eV/f.u.


[2]
VASP calculation (PBE-GGA) on crystalline Nd3HoOs at its relaxed geometry.

Cell: 5.595 5.595 5.595 Å, 90.00 90.00 90.00°
Space group Pm-3m (No. 221)
One atom of each set of equivalent atoms:
Nd 0.000 0.000 0.500
Ho 0.500 0.500 0.500
Os 0.000 0.000 0.000

- Total DFT energy (no corrections): -5.858 eV/atom
- Energy of formation from the pure elements: 0.8 eV/f.u.